<A>
DFT (GGA-PBE) results for MgCo3P after structural relaxation.

The structure in POSCAR format:
```
MgCo3P
1.0
-3.275 -2.769 0.554
2.800 -3.075 1.183
-0.363 1.254 4.122
P Co Mg
1 3 1
Direct
0.500 0.500 0.500
0.500 0.000 0.000
0.000 0.000 0.500
0.000 0.500 0.000
0.000 0.000 0.000
```

Properties
- DOS at the Fermi energy: 12.55 states/eV per cell
- Spin magnetization: 4.75 μB per formula unit



<B>
DFT (GGA-PBE) results for MgCo3P after structural relaxation.

The structure in POSCAR format:
```
MgCo3P
1.0
-3.710 1.845 -0.065
-0.719 -1.579 -3.763
-1.700 -3.358 1.734
Co Mg P
3 1 1
Direct
0.500 0.000 0.000
0.000 0.000 0.500
0.000 0.500 0.000
0.500 0.500 0.500
0.000 0.000 0.000
```

Properties
- DOS at the Fermi energy: 3.71 states/eV per cell
- Spin magnetization: 2.37 μB per formula unit



Which one is most stable, and which one is least stable? <B> is the most stable of them, while <A> is the least stable.



<A>
DFT (GGA-PBE) results for Mg2CoSnP after structural relaxation.

The structure in POSCAR format:
```
Mg2CoSnP
1.0
-3.877 3.102 0.121
-0.992 -1.091 -3.842
-2.863 -3.648 1.776
P Co Mg Sn
1 1 2 1
Direct
0.000 0.500 0.000
0.000 0.000 0.000
0.000 0.000 0.500
0.500 0.000 0.000
0.500 0.500 0.500
```

Properties
- DOS at the Fermi energy: 2.87 states/eV per cell
- Spin magnetization: 0.00 μB per formula unit



<B>
DFT (GGA-PBE) results for Mg2CoSnP after structural relaxation.

The structure in POSCAR format:
```
Mg2CoSnP
1.0
-1.337 4.534 -0.700
-4.445 -1.413 -0.659
-0.845 0.473 4.680
Sn Mg Co P
1 2 1 1
Direct
0.000 0.500 0.000
0.500 0.000 0.000
0.000 0.000 0.500
0.000 0.000 0.000
0.500 0.500 0.500
```

Properties
- DOS at the Fermi energy: 1.41 states/eV per cell
- Spin magnetization: 0.00 μB per formula unit



Which one is most stable, and which one is least stable? <A> is the most stable of them, while <B> is the least stable.



<A>
DFT (GGA-PBE) results for MgPa2Co after structural relaxation.

The structure in POSCAR format:
```
MgPa2Co
1.0
-2.328 2.340 -0.363
-3.214 -0.818 0.157
-1.771 2.161 10.084
Pa Co Mg
2 1 1
Direct
0.109 0.109 0.674
0.891 0.891 0.326
0.500 0.500 0.500
0.000 0.000 0.000
```

Properties
- DOS at the Fermi energy: 4.32 states/eV per cell
- Spin magnetization: 0.00 μB per formula unit



<B>
DFT (GGA-PBE) results for MgPa2Co after structural relaxation.

The structure in POSCAR format:
```
MgPa2Co
1.0
3.108 0.000 0.000
0.000 3.108 0.000
0.000 0.000 8.805
Pa Co Mg
2 1 1
Direct
0.000 0.000 0.200
0.000 0.000 0.800
0.500 0.500 0.000
0.500 0.500 0.500
```

Properties
- DOS at the Fermi energy: 6.56 states/eV per cell
- Spin magnetization: 0.00 μB per formula unit



Which one is most stable, and which one is least stable? <B> is the most stable of them, while <A> is the least stable.